Entry 1:
This record from the Alexandria database describes crystalline Li7Ag4Pb at its relaxed geometry. The functional is PBE-GGA.

Summary:
The value obtained for the total energy is -29.70 eV per cell. The total magnetization is 0.00 Bohr magnetons per cell. Its formation energy is -0.099 eV per atom. As for the density of states at the Fermi level: 3.38 states/eV per cell.

Lattice parameters (Å, degrees): 6.8980 6.8980 7.9698 117.53 117.53 42.25
Atoms (fractional coordinates):
Li 0.0000 0.0000 0.0000
Li 0.2569 0.2569 0.7183
Li 0.2970 0.2970 0.1207
Li 0.4232 0.4232 0.5788
Li 0.5768 0.5768 0.4212
Li 0.7030 0.7030 0.8793
Li 0.7431 0.7431 0.2817
Ag 0.0543 0.0543 0.7088
Ag 0.1840 0.1840 0.3549
Ag 0.8160 0.8160 0.6451
Ag 0.9457 0.9457 0.2912
Pb 0.5000 0.5000 0.0000

Entry 2:
This record from the Alexandria database describes crystalline Li6AgPb5 at its relaxed geometry. The functional is PBE-GGA.

Summary:
The value obtained for the total energy is -35.76 eV per cell. The total magnetization is 0.00 Bohr magnetons per cell. Its formation energy is -0.241 eV per atom. As for the density of states at the Fermi level: 3.31 states/eV per cell.

Lattice parameters (Å, degrees): 4.9105 7.0252 7.5994 90.00 103.59 90.00
Atoms (fractional coordinates):
Li 0.0000 0.2381 0.0000
Li 0.0000 0.7619 0.0000
Li 0.3496 0.2372 0.6763
Li 0.3496 0.7628 0.6763
Li 0.6504 0.2372 0.3237
Li 0.6504 0.7628 0.3237
Ag 0.5000 0.0000 0.0000
Pb 0.1522 0.0000 0.3259
Pb 0.1577 0.5000 0.3351
Pb 0.5000 0.5000 0.0000
Pb 0.8423 0.5000 0.6649
Pb 0.8478 0.0000 0.6741

Entry 3:
This record from the Alexandria database describes crystalline LiAgPb2 at its relaxed geometry. The functional is PBE-GGA.

Summary:
The value obtained for the total energy is -25.08 eV per cell. The total magnetization is 0.00 Bohr magnetons per cell. Its formation energy is -0.090 eV per atom. As for the density of states at the Fermi level: 2.90 states/eV per cell.

Lattice parameters (Å, degrees): 6.9577 6.3306 6.2585 67.10 56.95 55.96
Atoms (fractional coordinates):
Li 0.2272 0.7728 0.2272
Li 0.7728 0.2272 0.7728
Ag 0.2228 0.2228 0.7772
Ag 0.7772 0.7772 0.2228
Pb 0.2500 0.2500 0.2500
Pb 0.2781 0.7219 0.7219
Pb 0.7219 0.2781 0.2781
Pb 0.7500 0.7500 0.7500

Entry 4:
This record from the Alexandria database describes crystalline LiAgPb2 at its relaxed geometry. The functional is PBE-GGA.

Summary:
The value obtained for the total energy is -47.64 eV per cell. The total magnetization is 0.00 Bohr magnetons per cell. Its formation energy is 0.068 eV per atom. As for the density of states at the Fermi level: 7.77 states/eV per cell.

Lattice parameters (Å, degrees): 4.5605 4.5605 19.9211 90.00 90.00 90.00
Atoms (fractional coordinates):
Li 0.0000 0.0000 0.0000
Li 0.0000 0.5000 0.2500
Li 0.5000 0.0000 0.7500
Li 0.5000 0.5000 0.5000
Ag 0.0000 0.0000 0.5000
Ag 0.0000 0.5000 0.7500
Ag 0.5000 0.0000 0.2500
Ag 0.5000 0.5000 0.0000
Pb 0.2457 0.2500 0.1250
Pb 0.2500 0.7457 0.3750
Pb 0.2500 0.7543 0.8750
Pb 0.2543 0.2500 0.6250
Pb 0.7457 0.7500 0.6250
Pb 0.7500 0.2457 0.8750
Pb 0.7500 0.2543 0.3750
Pb 0.7543 0.7500 0.1250

Entry 5:
This record from the Alexandria database describes crystalline LiAgPb2 at its relaxed geometry. The functional is PBE-GGA.

Summary:
The value obtained for the total energy is -24.83 eV per cell. The total magnetization is 0.00 Bohr magnetons per cell. Its formation energy is -0.059 eV per atom. As for the density of states at the Fermi level: 2.06 states/eV per cell.

Lattice parameters (Å, degrees): 9.6914 3.5386 5.7349 90.00 102.28 90.00
Atoms (fractional coordinates):
Li 0.0000 0.0000 0.0000
Li 0.5000 0.5000 0.0000
Ag 0.0000 0.5000 0.5000
Ag 0.5000 0.0000 0.5000
Pb 0.2447 0.0000 0.7502
Pb 0.2553 0.5000 0.2498
Pb 0.7447 0.5000 0.7502
Pb 0.7553 0.0000 0.2498

Entry 6:
This record from the Alexandria database describes crystalline LiAg2Pb2 at its relaxed geometry. The functional is PBE-GGA.

Summary:
For the energy relative to the lowest polymorph listed for this composition, the calculation gives 56.0 meV/atom. The value obtained for the total energy is -30.20 eV per cell. The total magnetization is 0.00 Bohr magnetons per cell. Its formation energy is -0.014 eV per atom. As for the density of states at the Fermi level: 3.81 states/eV per cell.

Lattice parameters (Å, degrees): 7.3768 7.3768 4.3331 90.00 90.00 90.00
Atoms (fractional coordinates):
Li 0.0000 0.0000 0.0000
Li 0.5000 0.5000 0.0000
Ag 0.1355 0.3645 0.0000
Ag 0.3645 0.8645 0.0000
Ag 0.6355 0.1355 0.0000
Ag 0.8645 0.6355 0.0000
Pb 0.1724 0.6724 0.5000
Pb 0.3276 0.1724 0.5000
Pb 0.6724 0.8276 0.5000
Pb 0.8276 0.3276 0.5000

Entry 7:
This record from the Alexandria database describes crystalline LiAgPb2 at its relaxed geometry. The functional is PBE-GGA.

Summary:
The value obtained for the total energy is -12.51 eV per cell. The total magnetization is 0.00 Bohr magnetons per cell. Its formation energy is -0.083 eV per atom. As for the density of states at the Fermi level: 1.35 states/eV per cell.

Lattice parameters (Å, degrees): 3.5917 4.6698 5.8931 90.00 107.04 90.00
Atoms (fractional coordinates):
Li 0.0000 0.0000 0.0000
Ag 0.8655 0.5000 0.7167
Pb 0.2807 0.0000 0.5396
Pb 0.5788 0.5000 0.1602

Entry 8:
This record from the Alexandria database describes crystalline LiAg6Pb at its relaxed geometry. The functional is PBE-GGA.

Summary:
The value obtained for the total energy is -45.67 eV per cell. The total magnetization is 0.00 Bohr magnetons per cell. Its formation energy is -0.013 eV per atom. As for the density of states at the Fermi level: 5.27 states/eV per cell.

Lattice parameters (Å, degrees): 4.8482 6.0430 10.2912 90.00 90.00 90.00
Atoms (fractional coordinates):
Li 0.0000 0.0000 0.0000
Li 0.0000 0.5000 0.5000
Ag 0.0000 0.0000 0.5124
Ag 0.0000 0.2419 0.7643
Ag 0.0000 0.2581 0.2643
Ag 0.0000 0.5000 0.0124
Ag 0.0000 0.7419 0.2643
Ag 0.0000 0.7581 0.7643
Ag 0.5000 0.0000 0.6787
Ag 0.5000 0.2502 0.4277
Ag 0.5000 0.2498 0.9277
Ag 0.5000 0.5000 0.1787
Ag 0.5000 0.7498 0.4277
Ag 0.5000 0.7502 0.9277
Pb 0.5000 0.0000 0.1740
Pb 0.5000 0.5000 0.6740

Which formula does entry 2 have? Li6AgPb5